#P
# ZrZnFeSb, optimized geometry, DFT PBE-GGA
data_ZrZnFeSb
_cell_length_a 6.4836
_cell_length_b 6.4836
_cell_length_c 6.4836
_cell_angle_alpha 90.00
_cell_angle_beta 90.00
_cell_angle_gamma 90.00
_symmetry_space_group_name_H-M 'F -4 3 m'
_symmetry_Int_Tables_number 216
_symmetry_space_group_name_Hall 'F -4 2 3'
loop_
_atom_site_label
_atom_site_fract_x
_atom_site_fract_y
_atom_site_fract_z
Zr1 0.0000 0.0000 0.0000
Zn1 0.2500 0.2500 0.2500
Fe1 0.2500 0.2500 0.7500
Sb1 0.0000 0.0000 0.5000
# magnetic moment = 3.300 μB/cell

#Q
# ZrZnFeSb, optimized geometry, DFT PBE-GGA
data_ZrZnFeSb
_cell_length_a 6.5726
_cell_length_b 6.5726
_cell_length_c 6.5726
_cell_angle_alpha 90.00
_cell_angle_beta 90.00
_cell_angle_gamma 90.00
_symmetry_space_group_name_H-M 'F -4 3 m'
_symmetry_Int_Tables_number 216
_symmetry_space_group_name_Hall 'F -4 2 3'
loop_
_atom_site_label
_atom_site_fract_x
_atom_site_fract_y
_atom_site_fract_z
Zr1 0.0000 0.0000 0.0000
Zn1 0.2500 0.2500 0.7500
Fe1 0.0000 0.0000 0.5000
Sb1 0.2500 0.2500 0.2500
# magnetic moment = 6.014 μB/cell

Of them, the most stable is #P and the least stable is #Q.

#P
# TmBeAl, optimized geometry, DFT PBE-GGA
data_TmBeAl
_cell_length_a 6.5018
_cell_length_b 6.5018
_cell_length_c 6.5018
_cell_angle_alpha 90.00
_cell_angle_beta 90.00
_cell_angle_gamma 90.00
_symmetry_space_group_name_H-M 'F -4 3 m'
_symmetry_Int_Tables_number 216
_symmetry_space_group_name_Hall 'F -4 2 3'
loop_
_atom_site_label
_atom_site_fract_x
_atom_site_fract_y
_atom_site_fract_z
Tm1 0.0000 0.0000 0.0000
Be1 0.2500 0.2500 0.2500
Al1 0.2500 0.2500 0.7500
# magnetic moment = 0.005 μB/cell

#Q
# TmBeAl, optimized geometry, DFT PBE-GGA
data_TmBeAl
_cell_length_a 6.1080
_cell_length_b 6.1080
_cell_length_c 6.1080
_cell_angle_alpha 90.00
_cell_angle_beta 90.00
_cell_angle_gamma 90.00
_symmetry_space_group_name_H-M 'F -4 3 m'
_symmetry_Int_Tables_number 216
_symmetry_space_group_name_Hall 'F -4 2 3'
loop_
_atom_site_label
_atom_site_fract_x
_atom_site_fract_y
_atom_site_fract_z
Tm1 0.0000 0.0000 0.0000
Be1 0.2500 0.2500 0.7500
Al1 0.0000 0.0000 0.5000
# magnetic moment = 0.000 μB/cell

Of them, the most stable is #Q and the least stable is #P.

#P
# SrLiTmSe3, optimized geometry, DFT PBE-GGA
data_SrLiTmSe3
_cell_length_a 4.1403
_cell_length_b 13.5799
_cell_length_c 10.5511
_cell_angle_alpha 90.00
_cell_angle_beta 90.00
_cell_angle_gamma 90.00
_symmetry_space_group_name_H-M 'C m c m'
_symmetry_Int_Tables_number 63
_symmetry_space_group_name_Hall '-C 2c 2'
loop_
_atom_site_label
_atom_site_fract_x
_atom_site_fract_y
_atom_site_fract_z
Sr1 0.0000 0.2500 0.2500
Li1 0.0000 0.0245 0.7500
Tm1 0.0000 0.5000 0.0000
Se1 0.0000 0.1363 0.5622
Se2 0.0000 0.4215 0.7500
# magnetic moment = 0.012 μB/cell

#Q
# SrLiTmSe3, optimized geometry, DFT PBE-GGA
data_SrLiTmSe3
_cell_length_a 17.5915
_cell_length_b 4.1042
_cell_length_c 8.6395
_cell_angle_alpha 90.00
_cell_angle_beta 104.19
_cell_angle_gamma 90.00
_symmetry_space_group_name_H-M 'C 1 2/m 1'
_symmetry_Int_Tables_number 12
_symmetry_space_group_name_Hall '-C 2y'
loop_
_atom_site_label
_atom_site_fract_x
_atom_site_fract_y
_atom_site_fract_z
Sr1 0.1340 0.0000 0.0647
Li1 0.0063 0.5000 0.7009
Tm1 0.1657 0.0000 0.5853
Se1 0.0000 0.0000 0.5000
Se2 0.0000 0.5000 0.0000
Se3 0.1679 0.5000 0.3582
Se4 0.1754 0.5000 0.8127
# magnetic moment = 0.006 μB/cell

Of them, the most stable is #Q and the least stable is #P.

#P
# Cu2Ag

An optimized crystal structure of Cu2Ag (PBE-GGA, OQMD via LeMat-Bulk).

Cell and atoms, written as CIF:
```
data_Cu2Ag
_cell_length_a 13.4971
_cell_length_b 2.7791
_cell_length_c 7.5720
_cell_angle_alpha 90.00
_cell_angle_beta 118.39
_cell_angle_gamma 90.00
_symmetry_space_group_name_H-M 'C 1 2/m 1'
_symmetry_Int_Tables_number 12
_symmetry_space_group_name_Hall '-C 2y'
loop_
_atom_site_label
_atom_site_fract_x
_atom_site_fract_y
_atom_site_fract_z
Cu1 0.1318 0.0000 0.2076
Cu2 0.1737 0.5000 0.5117
Cu3 0.2222 0.0000 0.8341
Ag1 0.0000 0.0000 0.5000
Ag2 0.0563 0.5000 0.8655
```

#Q
# Cu2Ag

An optimized crystal structure of Cu2Ag (PBE-GGA, OQMD via LeMat-Bulk).

Cell and atoms, written as CIF:
```
data_Cu2Ag
_cell_length_a 3.8220
_cell_length_b 11.4979
_cell_length_c 3.7970
_cell_angle_alpha 90.00
_cell_angle_beta 90.00
_cell_angle_gamma 90.00
_symmetry_space_group_name_H-M 'C m m m'
_symmetry_Int_Tables_number 65
_symmetry_space_group_name_Hall '-C 2 2'
loop_
_atom_site_label
_atom_site_fract_x
_atom_site_fract_y
_atom_site_fract_z
Cu1 0.0000 0.0000 0.0000
Cu2 0.0000 0.1604 0.5000
Cu3 0.0000 0.5000 0.5000
Ag1 0.0000 0.3382 0.0000
```

Of them, the most stable is #P and the least stable is #Q.

#P
# Cu2Ag

An optimized crystal structure of Cu2Ag (PBE-GGA, OQMD via LeMat-Bulk).

Cell and atoms, written as CIF:
```
data_Cu2Ag
_cell_length_a 13.7326
_cell_length_b 2.7783
_cell_length_c 7.7349
_cell_angle_alpha 90.00
_cell_angle_beta 121.71
_cell_angle_gamma 90.00
_symmetry_space_group_name_H-M 'C 1 m 1'
_symmetry_Int_Tables_number 8
_symmetry_space_group_name_Hall 'C -2y'
loop_
_atom_site_label
_atom_site_fract_x
_atom_site_fract_y
_atom_site_fract_z
Cu1 0.0000 0.0000 0.0000
Cu2 0.0385 0.5000 0.3070
Cu3 0.0948 0.0000 0.6332
Cu4 0.1506 0.5000 0.9731
Cu5 0.2067 0.0000 0.2831
Cu6 0.3766 0.5000 0.3143
Ag1 0.2529 0.5000 0.6147
Ag2 0.3215 0.0000 0.9809
Ag3 0.4385 0.0000 0.6530
```

#Q
# Cu2Ag

An optimized crystal structure of Cu2Ag (PBE-GGA, OQMD via LeMat-Bulk).

Cell and atoms, written as CIF:
```
data_Cu2Ag
_cell_length_a 13.5373
_cell_length_b 2.7836
_cell_length_c 7.5457
_cell_angle_alpha 90.00
_cell_angle_beta 118.58
_cell_angle_gamma 90.00
_symmetry_space_group_name_H-M 'C 1 2/m 1'
_symmetry_Int_Tables_number 12
_symmetry_space_group_name_Hall '-C 2y'
loop_
_atom_site_label
_atom_site_fract_x
_atom_site_fract_y
_atom_site_fract_z
Cu1 0.0743 0.0000 0.3472
Cu2 0.1786 0.0000 0.0281
Cu3 0.2264 0.5000 0.3417
Ag1 0.0000 0.5000 0.0000
Ag2 0.1054 0.5000 0.6812
```

Of them, the most stable is #Q and the least stable is #P.

#P
# Cu7Ag3

An optimized crystal structure of Cu7Ag3 (PBE-GGA, OQMD via LeMat-Bulk).

Cell and atoms, written as CIF:
```
data_Cu7Ag3
_cell_length_a 9.0312
_cell_length_b 2.7848
_cell_length_c 10.9483
_cell_angle_alpha 90.00
_cell_angle_beta 97.46
_cell_angle_gamma 90.00
_symmetry_space_group_name_H-M 'C 1 2/m 1'
_symmetry_Int_Tables_number 12
_symmetry_space_group_name_Hall '-C 2y'
loop_
_atom_site_label
_atom_site_fract_x
_atom_site_fract_y
_atom_site_fract_z
Cu1 0.0000 0.0000 0.0000
Cu2 0.0818 0.0000 0.7293
Cu3 0.1094 0.5000 0.1750
Cu4 0.1932 0.5000 0.9098
Ag1 0.0000 0.5000 0.5000
Ag2 0.2114 0.0000 0.3765
```

#Q
# Cu7Ag3

An optimized crystal structure of Cu7Ag3 (PBE-GGA, OQMD via LeMat-Bulk).

Cell and atoms, written as CIF:
```
data_Cu7Ag3
_cell_length_a 4.6683
_cell_length_b 13.4173
_cell_length_c 4.6655
_cell_angle_alpha 90.00
_cell_angle_beta 109.67
_cell_angle_gamma 90.00
_symmetry_space_group_name_H-M 'C 1 2/m 1'
_symmetry_Int_Tables_number 12
_symmetry_space_group_name_Hall '-C 2y'
loop_
_atom_site_label
_atom_site_fract_x
_atom_site_fract_y
_atom_site_fract_z
Cu1 0.0000 0.0000 0.0000
Cu2 0.0000 0.0995 0.5000
Cu3 0.0000 0.2997 0.5000
Cu4 0.0000 0.4031 0.0000
Ag1 0.0000 0.1954 0.0000
Ag2 0.0000 0.5000 0.5000
```

#R
# Cu7Ag3

An optimized crystal structure of Cu7Ag3 (PBE-GGA, OQMD via LeMat-Bulk).

Cell and atoms, written as CIF:
```
data_Cu7Ag3
_cell_length_a 2.7521
_cell_length_b 3.5486
_cell_length_c 14.0284
_cell_angle_alpha 90.00
_cell_angle_beta 90.00
_cell_angle_gamma 90.00
_symmetry_space_group_name_H-M 'P m m 2'
_symmetry_Int_Tables_number 25
_symmetry_space_group_name_Hall 'P 2 -2'
loop_
_atom_site_label
_atom_site_fract_x
_atom_site_fract_y
_atom_site_fract_z
Cu1 0.0000 0.0000 0.0000
Cu2 0.0000 0.0000 0.1795
Cu3 0.0000 0.0000 0.7837
Cu4 0.5000 0.5000 0.0884
Cu5 0.5000 0.5000 0.2680
Cu6 0.5000 0.5000 0.4819
Cu7 0.5000 0.5000 0.6968
Ag1 0.0000 0.0000 0.3757
Ag2 0.0000 0.0000 0.5882
Ag3 0.5000 0.5000 0.8923
```

Of them, the most stable is #P and the least stable is #Q.